[1]
# Li3MnNi2O6

Crystalline Li3MnNi2O6 at its relaxed geometry (PBE+U, Alexandria). Values from VASP.

```
&SYSTEM
  ibrav = 0, nat = 24, ntyp = 4
/
ATOMIC_SPECIES
O 16.00 O.upf
Ni 58.69 Ni.upf
Li 6.94 Li.upf
Mn 54.94 Mn.upf
ATOMIC_POSITIONS crystal
O 0.486 0.671 0.112
O 0.832 0.694 0.890
O 0.988 0.801 0.609
O 0.671 0.486 0.612
O 0.306 0.168 0.610
O 0.168 0.306 0.110
O 0.012 0.199 0.391
O 0.694 0.832 0.390
O 0.329 0.514 0.388
O 0.801 0.988 0.109
O 0.199 0.012 0.891
O 0.514 0.329 0.888
Ni 0.664 0.171 0.500
Ni 0.171 0.664 0.000
Ni 0.336 0.829 0.500
Ni 0.829 0.336 0.000
Li 0.116 0.884 0.250
Li 0.796 0.550 0.244
Li 0.884 0.116 0.750
Li 0.450 0.204 0.256
Li 0.204 0.450 0.756
Li 0.550 0.796 0.744
Mn 0.000 0.500 0.500
Mn 0.500 0.000 0.000
CELL_PARAMETERS angstrom
-2.596 -3.144 3.069
1.197 -0.443 4.941
-6.502 6.747 3.439
```

The energy above the lowest structure with this stoichiometry comes out at 0.287 kcal/mol of atoms.

=====

[2]
# Li3MnNi4O8

Crystalline Li3MnNi4O8 at its relaxed geometry (PBE+U, Alexandria). Values from VASP.

```
&SYSTEM
  ibrav = 0, nat = 16, ntyp = 4
/
ATOMIC_SPECIES
O 16.00 O.upf
Ni 58.69 Ni.upf
Li 6.94 Li.upf
Mn 54.94 Mn.upf
ATOMIC_POSITIONS crystal
O 0.031 0.735 0.235
O 0.017 0.250 0.233
O 0.493 0.266 0.773
O 0.969 0.265 0.765
O 0.507 0.734 0.227
O 0.500 0.734 0.765
O 0.500 0.266 0.235
O 0.983 0.750 0.767
Ni 0.000 0.000 0.000
Ni 0.000 0.500 0.500
Ni 0.000 0.500 0.000
Ni 0.500 0.000 0.000
Li 0.500 0.500 0.500
Li 0.000 0.000 0.500
Li 0.500 0.000 0.500
Mn 0.500 0.500 0.000
CELL_PARAMETERS angstrom
5.883 -0.004 -0.023
2.938 5.097 -0.023
2.949 -1.698 4.806
```

The value obtained for the total energy is -85.4 eV/f.u.

=====

[3]
# Li3Mn3NiO8

Crystalline Li3Mn3NiO8 at its relaxed geometry (PBE+U, Alexandria). Values from VASP.

```
&SYSTEM
  ibrav = 0, nat = 30, ntyp = 4
/
ATOMIC_SPECIES
Ni 58.69 Ni.upf
O 16.00 O.upf
Li 6.94 Li.upf
Mn 54.94 Mn.upf
ATOMIC_POSITIONS crystal
Ni 0.333 0.667 0.508
Ni 0.667 0.333 0.008
O 0.843 0.686 0.898
O 0.968 0.484 0.165
O 0.000 0.000 0.673
O 0.333 0.667 0.904
O 0.000 0.000 0.173
O 0.032 0.516 0.665
O 0.843 0.157 0.898
O 0.516 0.032 0.165
O 0.686 0.843 0.398
O 0.157 0.314 0.398
O 0.157 0.843 0.398
O 0.314 0.157 0.898
O 0.484 0.968 0.665
O 0.484 0.516 0.665
O 0.516 0.484 0.165
O 0.667 0.333 0.404
Li 0.348 0.174 0.556
Li 0.826 0.174 0.556
Li 0.174 0.348 0.056
Li 0.174 0.826 0.056
Li 0.826 0.652 0.556
Li 0.652 0.826 0.056
Mn 0.665 0.832 0.785
Mn 0.168 0.335 0.785
Mn 0.335 0.168 0.285
Mn 0.832 0.168 0.285
Mn 0.832 0.665 0.285
Mn 0.168 0.832 0.785
CELL_PARAMETERS angstrom
-1.999 5.423 0.826
-3.318 -3.949 -2.736
-3.737 -2.651 8.358
```

The energy above the lowest structure with this stoichiometry comes out at 1.823 kcal/mol of atoms.

=====

[4]
# Li4Mn2Ni5O12

Crystalline Li4Mn2Ni5O12 at its relaxed geometry (PBE+U, Alexandria). Values from VASP.

```
&SYSTEM
  ibrav = 0, nat = 46, ntyp = 4
/
ATOMIC_SPECIES
O 16.00 O.upf
Mn 54.94 Mn.upf
Ni 58.69 Ni.upf
Li 6.94 Li.upf
ATOMIC_POSITIONS crystal
O 0.864 0.253 0.364
O 0.366 0.230 0.857
O 0.119 0.404 0.631
O 0.861 0.100 0.866
O 0.381 0.904 0.869
O 0.880 0.599 0.369
O 0.852 0.739 0.870
O 0.639 0.600 0.634
O 0.137 0.245 0.138
O 0.117 0.906 0.132
O 0.630 0.409 0.134
O 0.363 0.745 0.362
O 0.388 0.102 0.364
O 0.383 0.406 0.368
O 0.361 0.599 0.864
O 0.112 0.602 0.136
O 0.620 0.099 0.131
O 0.870 0.909 0.366
O 0.648 0.239 0.630
O 0.636 0.753 0.136
O 0.878 0.410 0.857
O 0.139 0.099 0.636
O 0.134 0.730 0.643
O 0.622 0.910 0.643
Mn 0.001 0.251 0.748
Mn 0.501 0.253 0.246
Mn 0.999 0.753 0.254
Mn 0.499 0.751 0.752
Ni 0.001 0.083 0.253
Ni 0.499 0.079 0.747
Ni 0.240 0.750 0.997
Ni 0.755 0.760 0.506
Ni 0.495 0.919 0.252
Ni 0.745 0.260 0.994
Ni 0.260 0.250 0.503
Ni 0.005 0.419 0.248
Ni 0.499 0.583 0.247
Ni 0.001 0.579 0.753
Li 0.746 0.575 0.997
Li 0.247 0.089 0.997
Li 0.495 0.415 0.750
Li 0.754 0.075 0.503
Li 0.005 0.915 0.750
Li 0.253 0.589 0.503
Li 0.752 0.415 0.503
Li 0.748 0.915 0.997
CELL_PARAMETERS angstrom
4.999 0.000 0.010
0.000 8.836 0.000
-1.726 0.000 9.591
```

The value obtained for the total energy is -126.1 eV/f.u.

=====

[5]
# Li4MnNi3O8

Crystalline Li4MnNi3O8 at its relaxed geometry (PBE+U, Alexandria). Values from VASP.

```
&SYSTEM
  ibrav = 0, nat = 16, ntyp = 4
/
ATOMIC_SPECIES
O 16.00 O.upf
Ni 58.69 Ni.upf
Li 6.94 Li.upf
Mn 54.94 Mn.upf
ATOMIC_POSITIONS crystal
O 0.261 0.735 0.735
O 0.763 0.763 0.763
O 0.735 0.735 0.261
O 0.237 0.237 0.237
O 0.735 0.261 0.735
O 0.265 0.265 0.739
O 0.265 0.739 0.265
O 0.739 0.265 0.265
Ni 0.500 0.000 0.000
Ni 0.000 0.500 0.000
Ni 0.000 0.000 0.500
Li 0.000 0.000 0.000
Li 0.500 0.500 0.000
Li 0.000 0.500 0.500
Li 0.500 0.000 0.500
Mn 0.500 0.500 0.500
CELL_PARAMETERS angstrom
-4.958 -0.243 -3.115
-3.633 -4.560 0.586
-5.184 0.679 2.646
```

The value obtained for the total energy is -85.7 eV/f.u.

=====

[6]
# LiMn3Ni2O8

Crystalline LiMn3Ni2O8 at its relaxed geometry (PBE+U, Alexandria). Values from VASP.

```
&SYSTEM
  ibrav = 0, nat = 14, ntyp = 4
/
ATOMIC_SPECIES
O 16.00 O.upf
Mn 54.94 Mn.upf
Ni 58.69 Ni.upf
Li 6.94 Li.upf
ATOMIC_POSITIONS crystal
O 0.529 0.248 0.281
O 0.966 0.248 0.719
O 0.525 0.793 0.268
O 0.525 0.257 0.732
O 0.533 0.754 0.779
O 0.975 0.204 0.229
O 0.975 0.747 0.771
O 0.975 0.754 0.221
Mn 0.747 0.000 0.254
Mn 0.747 0.493 0.746
Mn 0.114 0.614 0.500
Ni 0.748 0.001 0.747
Ni 0.254 0.001 0.253
Li 0.387 0.387 0.000
CELL_PARAMETERS angstrom
-5.646 -1.870 -0.659
-0.307 -1.735 5.719
1.579 5.578 -1.483
```

The value obtained for the total energy is -88.8 eV/f.u.

=====

[7]
# Li4Mn3NiO8

Crystalline Li4Mn3NiO8 at its relaxed geometry (PBE+U, Alexandria). Values from VASP.

```
&SYSTEM
  ibrav = 0, nat = 16, ntyp = 4
/
ATOMIC_SPECIES
Mn 54.94 Mn.upf
O 16.00 O.upf
Li 6.94 Li.upf
Ni 58.69 Ni.upf
ATOMIC_POSITIONS crystal
Mn 0.500 0.500 0.500
Mn 0.500 0.000 0.000
Mn 0.000 0.500 0.000
O 0.275 0.745 0.260
O 0.725 0.255 0.740
O 0.751 0.751 0.787
O 0.264 0.264 0.718
O 0.255 0.725 0.740
O 0.249 0.249 0.213
O 0.745 0.275 0.260
O 0.736 0.736 0.282
Li 0.500 0.500 0.000
Li 0.500 0.000 0.500
Li 0.000 0.500 0.500
Li 0.000 0.000 0.000
Ni 0.000 0.000 0.500
CELL_PARAMETERS angstrom
-3.713 -4.589 -0.014
1.304 -4.742 3.264
-3.238 -1.289 4.895
```

The value obtained for the total energy is -99.5 eV/f.u.

=====

[8]
# Li5Mn5Ni2O12

Crystalline Li5Mn5Ni2O12 at its relaxed geometry (PBE+U, Alexandria). Values from VASP.

```
&SYSTEM
  ibrav = 0, nat = 24, ntyp = 4
/
ATOMIC_SPECIES
O 16.00 O.upf
Mn 54.94 Mn.upf
Li 6.94 Li.upf
Ni 58.69 Ni.upf
ATOMIC_POSITIONS crystal
O 0.048 0.250 0.623
O 0.967 0.763 0.872
O 0.155 0.637 0.378
O 0.318 0.467 0.883
O 0.453 0.311 0.388
O 0.689 0.547 0.612
O 0.750 0.952 0.377
O 0.237 0.033 0.128
O 0.642 0.158 0.872
O 0.533 0.682 0.117
O 0.842 0.358 0.128
O 0.363 0.845 0.622
Mn 0.001 0.507 0.746
Mn 0.927 0.073 0.000
Mn 0.493 0.999 0.254
Mn 0.585 0.415 0.000
Mn 0.417 0.583 0.500
Li 0.823 0.659 0.251
Li 0.079 0.921 0.500
Li 0.663 0.825 0.744
Li 0.175 0.337 0.256
Li 0.341 0.177 0.749
Ni 0.258 0.742 0.000
Ni 0.742 0.258 0.500
CELL_PARAMETERS angstrom
5.186 -0.045 0.038
-2.604 4.485 0.038
0.925 1.591 9.660
```

The value obtained for the total energy is -150.3 eV/f.u.